# 1
This record from the Alexandria database describes a relaxed KRbUI6 crystal. The functional is GGA-PBE.

density of states at the Fermi level = 0.486 states/eV/atom
V = 984.95 Å³/cell
formation energy (no corrections) = -1.133 eV per atom

Cell lengths 8.6872, 8.6872, 15.0706 Å; angles 90.00, 90.00, 120.00 degrees
With the nearest neighbours (Å) after each atom.
Element x y z (fractional)
K (0.3333, 0.6667, 0.2500)  6 I 3.57
K (0.6667, 0.3333, 0.7500)  6 I 3.57
Rb (0.0000, 0.0000, 0.0000)  6 I 3.75
Rb (0.0000, 0.0000, 0.5000)  6 I 3.75
U (0.3333, 0.6667, 0.7500)  6 I 3.03
U (0.6667, 0.3333, 0.2500)  6 I 3.03
I (0.0478, 0.3874, 0.6325)  1 U 3.03
I (0.0478, 0.6603, 0.8675)  1 U 3.03
I (0.3397, 0.3874, 0.8675)  1 U 3.03
I (0.3397, 0.9522, 0.6325)  1 U 3.03
I (0.3874, 0.0478, 0.1325)  1 U 3.03
I (0.3874, 0.3397, 0.3675)  1 U 3.03
I (0.6126, 0.6603, 0.6325)  1 U 3.03
I (0.6126, 0.9522, 0.8675)  1 U 3.03
I (0.6603, 0.0478, 0.3675)  1 U 3.03
I (0.6603, 0.6126, 0.1325)  1 U 3.03
I (0.9522, 0.3397, 0.1325)  1 U 3.03
I (0.9522, 0.6126, 0.3675)  1 U 3.03


# 2
This record from the Alexandria database describes a relaxed Sm3ErPt2 crystal. The functional is GGA-PBE.

ΔE_f = -0.88 eV/atom
density of states at the Fermi level = 1.004 states/eV/atom
V = 315.10 Å³/cell

Cell lengths 4.8293, 8.9946, 7.2542 Å; angles 90.00, 90.00, 90.00 degrees
With the nearest neighbours (Å) after each atom.
Element x y z (fractional)
Sm (0.0000, 0.0852, 0.0000)  3 Pt 2.86-3.08
Sm (0.0000, 0.3373, 0.3621)  4 Pt 2.94-3.00
Sm (0.0000, 0.6627, 0.8621)  4 Pt 2.94-3.00
Sm (0.0000, 0.9148, 0.5000)  3 Pt 2.86-3.08
Sm (0.5000, 0.1678, 0.6509)  4 Pt 2.95-3.05
Sm (0.5000, 0.8322, 0.1509)  4 Pt 2.95-3.05
Er (0.5000, 0.4141, 0.0132)  3 Pt 2.82-3.05
Er (0.5000, 0.5859, 0.5132)  3 Pt 2.82-3.05
Pt (0.0000, 0.3443, 0.7705)  5 Sm 2.86-3.02, 2 Er 3.05
Pt (0.0000, 0.6557, 0.2705)  5 Sm 2.86-3.02, 2 Er 3.05
Pt (0.5000, 0.1624, 0.2449)  1 Er 2.82, 6 Sm 2.95-3.08
Pt (0.5000, 0.8376, 0.7449)  1 Er 2.82, 6 Sm 2.95-3.08